(1)
VASP calculation (PBE) on LiNpSn2 after structural relaxation.

```
data_LiNpSn2
_cell_length_a 7.297
_cell_length_b 7.297
_cell_length_c 7.297
_cell_angle_alpha 90.00
_cell_angle_beta 90.00
_cell_angle_gamma 90.00
_symmetry_space_group_name_H-M 'P 1'
_symmetry_Int_Tables_number 1
_symmetry_space_group_name_Hall 'P 1'
loop_
_atom_site_label
_atom_site_type_symbol
_atom_site_fract_x
_atom_site_fract_y
_atom_site_fract_z
_atom_site_occupancy
Li1 Li 0.000 0.000 0.000 1
Li2 Li 0.000 0.500 0.500 1
Li3 Li 0.500 0.000 0.500 1
Li4 Li 0.500 0.500 0.000 1
Np1 Np 0.000 0.000 0.500 1
Np2 Np 0.000 0.500 0.000 1
Np3 Np 0.500 0.000 0.000 1
Np4 Np 0.500 0.500 0.500 1
Sn1 Sn 0.250 0.250 0.250 1
Sn2 Sn 0.250 0.250 0.750 1
Sn3 Sn 0.250 0.750 0.250 1
Sn4 Sn 0.250 0.750 0.750 1
Sn5 Sn 0.750 0.250 0.250 1
Sn6 Sn 0.750 0.250 0.750 1
Sn7 Sn 0.750 0.750 0.250 1
Sn8 Sn 0.750 0.750 0.750 1
```

(2)
VASP calculation (PBE) on LiNpSn2 after structural relaxation.

```
data_LiNpSn2
_cell_length_a 4.670
_cell_length_b 4.670
_cell_length_c 4.360
_cell_angle_alpha 90.00
_cell_angle_beta 90.00
_cell_angle_gamma 90.00
_symmetry_space_group_name_H-M 'P 1'
_symmetry_Int_Tables_number 1
_symmetry_space_group_name_Hall 'P 1'
loop_
_atom_site_label
_atom_site_type_symbol
_atom_site_fract_x
_atom_site_fract_y
_atom_site_fract_z
_atom_site_occupancy
Li1 Li 0.000 0.000 0.000 1
Np1 Np 0.500 0.500 0.000 1
Sn1 Sn 0.000 0.500 0.500 1
Sn2 Sn 0.500 0.000 0.500 1
```

(3)
VASP calculation (PBE) on LiNpSn2 after structural relaxation.

```
data_LiNpSn2
_cell_length_a 3.134
_cell_length_b 3.134
_cell_length_c 9.424
_cell_angle_alpha 90.00
_cell_angle_beta 90.00
_cell_angle_gamma 90.00
_symmetry_space_group_name_H-M 'P 1'
_symmetry_Int_Tables_number 1
_symmetry_space_group_name_Hall 'P 1'
loop_
_atom_site_label
_atom_site_type_symbol
_atom_site_fract_x
_atom_site_fract_y
_atom_site_fract_z
_atom_site_occupancy
Li1 Li 0.000 0.000 0.000 1
Np1 Np 0.000 0.000 0.500 1
Sn1 Sn 0.500 0.500 0.233 1
Sn2 Sn 0.500 0.500 0.767 1
```

(4)
VASP calculation (PBE) on LiNp2Sn9 after structural relaxation.

```
data_LiNp2Sn9
_cell_length_a 4.643
_cell_length_b 4.643
_cell_length_c 13.979
_cell_angle_alpha 90.00
_cell_angle_beta 90.00
_cell_angle_gamma 90.00
_symmetry_space_group_name_H-M 'P 1'
_symmetry_Int_Tables_number 1
_symmetry_space_group_name_Hall 'P 1'
loop_
_atom_site_label
_atom_site_type_symbol
_atom_site_fract_x
_atom_site_fract_y
_atom_site_fract_z
_atom_site_occupancy
Li1 Li 0.000 0.000 0.000 1
Np1 Np 0.000 0.000 0.337 1
Np2 Np 0.000 0.000 0.663 1
Sn1 Sn 0.000 0.500 0.162 1
Sn2 Sn 0.000 0.500 0.500 1
Sn3 Sn 0.000 0.500 0.838 1
Sn4 Sn 0.500 0.000 0.162 1
Sn5 Sn 0.500 0.000 0.500 1
Sn6 Sn 0.500 0.000 0.838 1
Sn7 Sn 0.500 0.500 0.000 1
Sn8 Sn 0.500 0.500 0.330 1
Sn9 Sn 0.500 0.500 0.670 1
```

| no. | mass density (Mg/m³) | ΔH_f (0 K) (eV/atom) |
| --- | --- | --- |
| 1 | 8.2 | -0.05 |
| 2 | 8.4 | -0.14 |
| 3 | 8.6 | -0.14 |
| 4 | 8.5 | -0.12 |